Entry i
The following is a PBE calculation of NaAsWSe2 after structural relaxation, from Alexandria via LeMat-Bulk.

Cell lengths 4.858, 4.858, 4.741 Å; angles 90.00, 90.00, 90.00 degrees
Element x y z (fractional)
Na (0.000, 0.000, 0.000)
As (0.000, 0.000, 0.500)
W (0.500, 0.500, 0.500)
Se (0.000, 0.500, 0.000)
Se (0.500, 0.000, 0.000)

---

Entry ii
The following is a PBE calculation of NaAsWSe2 after structural relaxation, from Alexandria via LeMat-Bulk.

Cell lengths 5.044, 5.044, 4.907 Å; angles 90.00, 90.00, 90.00 degrees
Element x y z (fractional)
Na (0.000, 0.000, 0.000)
As (0.500, 0.500, 0.000)
W (0.500, 0.500, 0.500)
Se (0.000, 0.500, 0.500)
Se (0.500, 0.000, 0.500)

---

Most stable of them? entry ii.

---

Entry i
The following is a PBE calculation of NaYAsSe2 after structural relaxation, from Alexandria via LeMat-Bulk.

Cell lengths 5.090, 5.090, 4.838 Å; angles 90.00, 90.00, 90.00 degrees
Element x y z (fractional)
Na (0.000, 0.000, 0.000)
Y (0.500, 0.500, 0.500)
As (0.000, 0.000, 0.500)
Se (0.000, 0.500, 0.000)
Se (0.500, 0.000, 0.000)

---

Entry ii
The following is a PBE calculation of NaYAsSe2 after structural relaxation, from Alexandria via LeMat-Bulk.

Cell lengths 5.516, 5.516, 5.537 Å; angles 90.00, 90.00, 90.00 degrees
Element x y z (fractional)
Na (0.000, 0.000, 0.000)
Y (0.500, 0.500, 0.500)
As (0.500, 0.500, 0.000)
Se (0.000, 0.500, 0.500)
Se (0.500, 0.000, 0.500)

---

Most stable of them? entry ii.

---

Entry i
The following is a PBE calculation of NaSiAs3 after structural relaxation, from Alexandria via LeMat-Bulk.

Cell lengths 5.240, 6.788, 6.972 Å; angles 90.00, 95.26, 90.00 degrees
Element x y z (fractional)
Na (0.171, 0.250, 0.402)
Na (0.829, 0.750, 0.598)
Si (0.389, 0.750, 0.034)
Si (0.611, 0.250, 0.966)
As (0.082, 0.250, 0.960)
As (0.317, 0.007, 0.771)
As (0.317, 0.493, 0.771)
As (0.683, 0.507, 0.229)
As (0.683, 0.993, 0.229)
As (0.918, 0.750, 0.040)

---

Entry ii
The following is a PBE calculation of NaSiAs3 after structural relaxation, from Alexandria via LeMat-Bulk.

Cell lengths 4.972, 4.972, 4.972 Å; angles 90.00, 90.00, 90.00 degrees
Element x y z (fractional)
Na (0.000, 0.000, 0.000)
Si (0.500, 0.500, 0.500)
As (0.000, 0.000, 0.500)
As (0.000, 0.500, 0.000)
As (0.500, 0.000, 0.000)

---

Most stable of them? entry i.

---

Entry i
The following is a PBE calculation of Na2SiAs after structural relaxation, from Alexandria via LeMat-Bulk.

Cell lengths 9.323, 5.949, 8.347 Å; angles 90.00, 115.36, 90.00 degrees
Element x y z (fractional)
Na (0.169, 0.240, 0.107)
Na (0.169, 0.260, 0.607)
Na (0.213, 0.749, 0.829)
Na (0.213, 0.751, 0.329)
Na (0.787, 0.249, 0.671)
Na (0.787, 0.251, 0.171)
Na (0.831, 0.740, 0.393)
Na (0.831, 0.760, 0.893)
Si (0.427, 0.174, 0.503)
Si (0.427, 0.326, 0.003)
Si (0.573, 0.674, 0.997)
Si (0.573, 0.826, 0.497)
As (0.470, 0.578, 0.664)
As (0.470, 0.922, 0.164)
As (0.530, 0.078, 0.836)
As (0.530, 0.422, 0.336)

---

Entry ii
The following is a PBE calculation of Na2SiAs after structural relaxation, from Alexandria via LeMat-Bulk.

Cell lengths 8.553, 8.553, 5.142 Å; angles 90.00, 90.00, 90.00 degrees
Element x y z (fractional)
Na (0.212, 0.750, 0.125)
Na (0.250, 0.212, 0.875)
Na (0.250, 0.288, 0.375)
Na (0.288, 0.750, 0.625)
Na (0.712, 0.250, 0.625)
Na (0.750, 0.712, 0.375)
Na (0.750, 0.788, 0.875)
Na (0.788, 0.250, 0.125)
Si (0.000, 0.000, 0.500)
Si (0.000, 0.500, 0.750)
Si (0.500, 0.000, 0.250)
Si (0.500, 0.500, 0.000)
As (0.000, 0.000, 0.000)
As (0.000, 0.500, 0.250)
As (0.500, 0.000, 0.750)
As (0.500, 0.500, 0.500)

---

Most stable of them? entry i.